Material: YVF3
Method: DFT, PBE with a Hubbard U
State: optimized geometry

```
YVF3
1.0
4.2686 0.0000 0.0000
0.0000 4.2686 0.0000
0.0000 0.0000 4.2686
Y V F
1 1 3
Direct
0.0000 0.0000 0.0000
0.5000 0.5000 0.5000
0.0000 0.5000 0.5000
0.5000 0.0000 0.5000
0.5000 0.5000 0.0000
```

Properties
magnetic moment: 4.668 μB per cell
E above lowest polymorph: 23.26 kJ/mol of atoms
ρ: 4.203 g/cm³